# Ba2HgBiAs | the Alexandria database | PBE-GGA | optimized geometry
# theoretical density = 6.4 g cm⁻³
# E_tot = -3.338 eV per atom
# energy of formation from the pure elements = -0.8026 eV/atom
# E above lowest polymorph = 0 meV/atom
data_Ba2HgBiAs
_symmetry_space_group_name_H-M 'P 1 21/m 1'
_symmetry_Int_Tables_number 11
_symmetry_space_group_name_Hall '-P 2yb'
_cell_length_a 8.270
_cell_length_b 4.866
_cell_length_c 10.139
_cell_angle_alpha 90.00
_cell_angle_beta 106.42
_cell_angle_gamma 90.00
loop_
_atom_site_label
_atom_site_type_symbol
_atom_site_fract_x
_atom_site_fract_y
_atom_site_fract_z
Ba1 Ba 0.194 0.250 0.398
Ba2 Ba 0.231 0.250 0.975
Hg1 Hg 0.488 0.750 0.263
Bi1 Bi 0.297 0.750 0.700
As1 As 0.159 0.750 0.177

# Ba2HgBiAs | the Alexandria database | PBE-GGA | optimized geometry
# theoretical density = 5.9 g cm⁻³
# E_tot = -2.785 eV per atom
# energy of formation from the pure elements = -0.2490 eV/atom
# E above lowest polymorph = 554 meV/atom
data_Ba2HgBiAs
_symmetry_space_group_name_H-M 'P 4/m m m'
_symmetry_Int_Tables_number 123
_symmetry_space_group_name_Hall '-P 4 2'
_cell_length_a 6.512
_cell_length_b 6.512
_cell_length_c 5.078
_cell_angle_alpha 90.00
_cell_angle_beta 90.00
_cell_angle_gamma 90.00
loop_
_atom_site_label
_atom_site_type_symbol
_atom_site_fract_x
_atom_site_fract_y
_atom_site_fract_z
Ba1 Ba 0.000 0.500 0.000
Hg1 Hg 0.000 0.000 0.000
Bi1 Bi 0.500 0.500 0.500
As1 As 0.000 0.000 0.500

# BaHgBi2As | the Alexandria database | PBE-GGA | optimized geometry
# theoretical density = 6.8 g cm⁻³
# E_tot = -2.603 eV per atom
# energy of formation from the pure elements = 0.3243 eV/atom
data_BaHgBi2As
_symmetry_space_group_name_H-M 'P 4/m m m'
_symmetry_Int_Tables_number 123
_symmetry_space_group_name_Hall '-P 4 2'
_cell_length_a 5.623
_cell_length_b 5.623
_cell_length_c 6.383
_cell_angle_alpha 90.00
_cell_angle_beta 90.00
_cell_angle_gamma 90.00
loop_
_atom_site_label
_atom_site_type_symbol
_atom_site_fract_x
_atom_site_fract_y
_atom_site_fract_z
Ba1 Ba 0.000 0.000 0.000
Hg1 Hg 0.000 0.000 0.500
Bi1 Bi 0.000 0.500 0.500
As1 As 0.500 0.500 0.000

# Ba4BiAsI2 | the Alexandria database | PBE-GGA | optimized geometry
# theoretical density = 4.9 g cm⁻³
# E_tot = -3.797 eV per atom
# ΔE_f (raw) = -1.382 eV/atom
data_Ba4BiAsI2
_symmetry_space_group_name_H-M 'P 1 2/m 1'
_symmetry_Int_Tables_number 10
_symmetry_space_group_name_Hall '-P 2y'
_cell_length_a 8.711
_cell_length_b 4.990
_cell_length_c 8.898
_cell_angle_alpha 90.00
_cell_angle_beta 108.96
_cell_angle_gamma 90.00
loop_
_atom_site_label
_atom_site_type_symbol
_atom_site_fract_x
_atom_site_fract_y
_atom_site_fract_z
Ba1 Ba 0.225 0.000 0.208
Ba2 Ba 0.249 0.500 0.786
Bi1 Bi 0.500 0.000 0.000
As1 As 0.000 0.500 0.000
I1 I 0.000 0.000 0.500
I2 I 0.500 0.500 0.500